(1)
19
Lattice="11.239 -3.592 0.000 11.239 3.592 0.000 -3.007 0.000 8.292" Properties=species:S:1:pos:R:3 comment="Pm2Nd12Y5 GGA-PBE relaxed" space_group="C2/m (12)" formation_energy_kj_per_mol_fu=231 total_energy_ev_per_fu=-96.64 m_tot_mub_per_atom=0.000 pbc="T T T"
Pm 11.239 1.829 0.000
Pm 11.239 -1.829 0.000
Nd -1.004 0.000 5.747
Nd 6.141 1.819 1.714
Nd 7.000 1.847 5.087
Nd 12.471 1.847 3.205
Nd 5.164 0.000 7.742
Nd 13.330 1.819 6.578
Nd 6.141 -1.819 1.714
Nd 14.307 0.000 0.550
Nd 7.000 -1.847 5.087
Nd 12.471 -1.847 3.205
Nd 13.330 -1.819 6.578
Nd 20.475 0.000 2.545
Y 3.118 0.000 0.814
Y 4.113 0.000 4.219
Y 9.735 0.000 4.146
Y 15.358 0.000 4.072
Y 16.353 0.000 7.478

***

(2)
12
Lattice="9.848 0.000 0.000 0.000 3.611 0.000 -0.749 0.000 11.774" Properties=species:S:1:pos:R:3 comment="Pm2Nd3Y GGA-PBE relaxed" space_group="P2_1/m (11)" formation_energy_kj_per_mol_fu=38 total_energy_ev_per_fu=-29.88 m_tot_mub_per_atom=0.000 pbc="T T T"
Pm 0.322 0.903 4.194
Pm 3.452 2.708 10.352
Pm 5.647 0.903 1.423
Pm 8.777 2.708 7.581
Nd 0.306 0.903 10.575
Nd 2.104 0.903 7.537
Nd 3.879 0.903 4.481
Nd 5.220 2.708 7.293
Nd 6.995 2.708 4.237
Nd 8.793 2.708 1.199
Y 2.436 2.708 1.697
Y 6.663 0.903 10.077

***

(3)
12
Lattice="-4.427 4.427 5.794 4.427 -4.427 5.794 4.427 4.427 -5.794" Properties=species:S:1:pos:R:3 comment="Pm8Nd3Y GGA-PBE relaxed" space_group="I-42m (121)" formation_energy_kj_per_mol_fu=657 total_energy_ev_per_fu=-51.97 m_tot_mub_per_atom=0.000 pbc="T T T"
Pm 3.326 3.326 -2.903
Pm 2.202 2.202 -0.048
Pm 2.225 -2.225 5.842
Pm 1.101 1.101 2.891
Pm 1.101 -1.101 8.697
Pm 2.225 2.225 5.746
Pm -2.225 2.225 5.842
Pm -1.101 1.101 8.697
Nd 4.427 0.000 2.897
Nd 0.000 0.000 5.794
Nd 0.000 4.427 2.897
Y 0.000 0.000 0.000

***

(4)
8
Lattice="4.850 2.800 3.327 -4.850 2.800 3.327 0.000 -5.601 3.327" Properties=species:S:1:pos:R:3 comment="PmNdY6 GGA-PBE relaxed" space_group="R-3 (148)" formation_energy_kj_per_mol_fu=113 total_energy_ev_per_fu=-47.13 m_tot_mub_per_atom=0.000 pbc="T T T"
Pm 0.000 0.000 0.000
Nd 0.000 0.000 4.991
Y -2.009 -2.802 4.160
Y -3.431 0.338 5.822
Y -1.422 3.141 4.160
Y 1.422 -3.141 5.822
Y 3.431 -0.338 4.160
Y 2.009 2.802 5.822

***

(5)
11
Lattice="5.031 -5.642 0.000 5.031 5.642 0.000 -2.543 0.000 6.584" Properties=species:S:1:pos:R:3 comment="Pm2Nd2Y7 GGA-PBE relaxed" space_group="C2/m (12)" formation_energy_kj_per_mol_fu=232 total_energy_ev_per_fu=-61.88 m_tot_mub_per_atom=0.000 pbc="T T T"
Pm 5.031 3.843 0.000
Pm 5.031 -3.843 0.000
Nd 2.236 0.000 3.807
Nd 5.283 0.000 2.777
Y -1.271 0.000 3.292
Y 2.520 2.815 2.023
Y 3.101 0.000 0.079
Y 4.999 2.815 4.561
Y 2.520 -2.815 2.023
Y 4.418 0.000 6.505
Y 4.999 -2.815 4.561

***

(6)
11
Lattice="11.085 0.000 0.000 -5.542 9.600 0.000 0.000 0.000 3.597" Properties=species:S:1:pos:R:3 comment="Pm4NdY6 GGA-PBE relaxed" space_group="P-6m2 (187)" formation_energy_kj_per_mol_fu=176 total_energy_ev_per_fu=-60.73 m_tot_mub_per_atom=0.000 pbc="T T T"
Pm 0.000 0.000 0.000
Pm 5.542 0.007 1.799
Pm 2.777 4.796 1.799
Pm 8.308 4.796 1.799
Nd 5.542 3.200 0.000
Y 0.000 3.430 0.000
Y -2.572 7.884 0.000
Y 2.527 1.459 1.799
Y 2.572 7.884 0.000
Y 8.558 1.459 1.799
Y 5.542 6.682 1.799

***

(7)
12
Lattice="8.238 -3.007 0.000 8.238 3.007 0.000 -4.264 0.000 8.495" Properties=species:S:1:pos:R:3 comment="Pm4Nd5Y3 GGA-PBE relaxed" space_group="C2/m (12)" formation_energy_kj_per_mol_fu=248 total_energy_ev_per_fu=-59.67 m_tot_mub_per_atom=0.000 pbc="T T T"
Pm -0.526 0.000 3.768
Pm -0.161 0.000 7.466
Pm 12.374 0.000 1.029
Pm 12.738 0.000 4.728
Nd 0.000 0.000 0.000
Nd 2.790 0.000 5.195
Nd 5.743 0.000 2.537
Nd 6.469 0.000 5.958
Nd 9.423 0.000 3.300
Y 2.465 0.000 1.933
Y 8.238 0.000 0.000
Y 9.748 0.000 6.563

***

(8)
13
Lattice="5.567 3.214 4.540 -5.567 3.214 4.540 0.000 -6.428 4.540" Properties=species:S:1:pos:R:3 comment="PmNd4Y8 GGA-PBE relaxed" space_group="R-3m (166)" formation_energy_kj_per_mol_fu=643 total_energy_ev_per_fu=-68.87 m_tot_mub_per_atom=0.165 pbc="T T T"
Pm 0.000 0.000 0.000
Nd -5.567 0.000 6.810
Nd -2.784 1.607 2.270
Nd 2.784 1.607 2.270
Nd 0.000 0.000 6.810
Y 0.000 0.000 3.545
Y 0.000 -3.085 5.721
Y -2.672 1.542 5.721
Y -2.672 -1.542 7.898
Y 2.672 1.542 5.721
Y 2.672 -1.542 7.898
Y 0.000 3.085 7.898
Y 0.000 0.000 10.075

***

(9)
19
Lattice="9.252 -3.565 0.000 9.252 3.565 0.000 -3.677 0.000 9.756" Properties=species:S:1:pos:R:3 comment="Pm2Nd5Y12 GGA-PBE relaxed" space_group="C2/m (12)" formation_energy_kj_per_mol_fu=303 total_energy_ev_per_fu=-107.77 m_tot_mub_per_atom=0.000 pbc="T T T"
Pm 9.252 1.995 0.000
Pm 9.252 -1.995 0.000
Nd 2.539 0.000 2.062
Nd 2.775 0.000 7.935
Nd 7.414 0.000 4.878
Nd 12.053 0.000 1.821
Nd 12.288 0.000 7.695
Y -2.406 0.000 6.577
Y 4.486 1.799 4.664
Y 5.822 1.763 1.271
Y 10.341 1.799 5.093
Y 9.005 1.763 8.486
Y 6.025 0.000 7.376
Y 8.803 0.000 2.380
Y 5.822 -1.763 1.271
Y 4.486 -1.799 4.664
Y 9.005 -1.763 8.486
Y 10.341 -1.799 5.093
Y 17.234 0.000 3.179

***

(10)
9
Lattice="8.638 -2.852 0.000 8.638 2.852 0.000 -2.400 0.000 6.214" Properties=species:S:1:pos:R:3 comment="Pm3Nd2Y4 GGA-PBE relaxed" space_group="C2/m (12)" formation_energy_kj_per_mol_fu=80 total_energy_ev_per_fu=-48.82 m_tot_mub_per_atom=0.000 pbc="T T T"
Pm 0.000 0.000 0.000
Pm 0.900 0.000 3.604
Pm 13.977 0.000 2.610
Nd 4.579 0.000 4.342
Nd 10.297 0.000 1.871
Y 3.487 0.000 0.894
Y 6.845 0.000 1.502
Y 8.032 0.000 4.712
Y 11.389 0.000 5.320

***

(11)
11
Lattice="10.770 0.000 0.000 0.000 2.894 6.093 0.000 -2.894 6.093" Properties=species:S:1:pos:R:3 comment="Pm3Nd4Y4 GGA-PBE relaxed" space_group="Amm2 (38)" formation_energy_kj_per_mol_fu=155 total_energy_ev_per_fu=-57.58 m_tot_mub_per_atom=0.000 pbc="T T T"
Pm 0.000 0.000 0.000
Pm 3.167 0.000 1.852
Pm 7.602 0.000 1.852
Nd 0.000 0.000 8.608
Nd 2.258 0.000 6.135
Nd 5.385 0.000 7.647
Nd 8.512 0.000 6.135
Y 0.000 0.000 3.660
Y 3.225 0.000 10.329
Y 5.385 0.000 4.350
Y 7.545 0.000 10.329

***

(12)
11
Lattice="3.111 -5.400 0.000 3.111 5.400 0.000 -2.093 0.000 11.558" Properties=species:S:1:pos:R:3 comment="Pm2Nd3Y6 GGA-PBE relaxed" space_group="C2/m (12)" formation_energy_kj_per_mol_fu=199 total_energy_ev_per_fu=-60.53 m_tot_mub_per_atom=0.000 pbc="T T T"
Pm 3.111 3.602 0.000
Pm 3.111 -3.602 0.000
Nd -1.047 0.000 5.779
Nd 2.064 1.772 5.779
Nd 2.064 -1.772 5.779
Y -0.012 1.796 8.690
Y 1.037 0.000 2.872
Y -0.012 -1.796 8.690
Y 4.140 1.796 2.868
Y 3.091 0.000 8.686
Y 4.140 -1.796 2.868